(1)
A plane-wave DFT calculation with PBE-GGA was carried out for an optimized crystal structure of Zn2GeIrSe.

Properties
**Calculated volume**: 105.7 Å³ per cell
**Energy relative to the elements, uncorrected**: 1038 meV per atom
**Size of the total moment**: 0.0 μB/cell
**Crystal system**: tetragonal

The structure in CIF format:
```
data_Zn2GeIrSe
_chemical_formula_sum 'Zn2 Ge1 Ir1 Se1'
_symmetry_space_group_name_H-M 'P 4/m m m'
_symmetry_Int_Tables_number 123
_symmetry_space_group_name_Hall '-P 4 2'
_cell_length_a 4.494
_cell_length_b 4.494
_cell_length_c 5.234
_cell_angle_alpha 90.00
_cell_angle_beta 90.00
_cell_angle_gamma 90.00
loop_
_atom_site_label
_atom_site_fract_x
_atom_site_fract_y
_atom_site_fract_z
Zn1 0.000 0.500 0.000
Ge1 0.000 0.000 0.000
Ir1 0.500 0.500 0.500
Se1 0.000 0.000 0.500
```

(2)
A plane-wave DFT calculation with PBE-GGA was carried out for an optimized crystal structure of RbMgNpF6.

Properties
**Calculated volume**: 605.1 Å³ per cell
**Energy relative to the elements, uncorrected**: -3302 meV per atom
**Size of the total moment**: 16.0 μB/cell
**Crystal system**: orthorhombic

The structure in CIF format:
```
data_RbMgNpF6
_chemical_formula_sum 'Rb4 Mg4 Np4 F24'
_symmetry_space_group_name_H-M 'I m m a'
_symmetry_Int_Tables_number 74
_symmetry_space_group_name_Hall '-I 2b 2'
_cell_length_a 7.413
_cell_length_b 7.900
_cell_length_c 10.333
_cell_angle_alpha 90.00
_cell_angle_beta 90.00
_cell_angle_gamma 90.00
loop_
_atom_site_label
_atom_site_fract_x
_atom_site_fract_y
_atom_site_fract_z
Rb1 0.000 0.250 0.084
Mg1 0.250 0.250 0.750
Np1 0.000 0.000 0.500
F1 0.000 0.250 0.381
F2 0.000 0.250 0.679
F3 0.230 0.067 0.884
```

(3)
A plane-wave DFT calculation with PBE-GGA was carried out for an optimized crystal structure of Pm3Er3CuS8.

Properties
**Calculated volume**: 1020.0 Å³ per cell
**Energy relative to the elements, uncorrected**: -1814 meV per atom
**Size of the total moment**: 0.0 μB/cell
**Crystal system**: trigonal

The structure in CIF format:
```
data_Pm3Er3CuS8
_chemical_formula_sum 'Pm9 Er9 Cu3 S24'
_symmetry_space_group_name_H-M 'R -3 m'
_symmetry_Int_Tables_number 166
_symmetry_space_group_name_Hall '-R 3 2"'
_cell_length_a 7.8116
_cell_length_b 7.8116
_cell_length_c 19.3020
_cell_angle_alpha 90.00
_cell_angle_beta 90.00
_cell_angle_gamma 120.00
loop_
_atom_site_label
_atom_site_fract_x
_atom_site_fract_y
_atom_site_fract_z
Pm1 0.0000 0.5000 0.0000
Er1 0.0000 0.5000 0.5000
Cu1 0.0000 0.0000 0.5000
S1 0.0000 0.0000 0.2456
S2 0.0029 0.5015 0.2447
```

(4)
A plane-wave DFT calculation with PBE-GGA was carried out for an optimized crystal structure of Li5ZnAu6.

Properties
**Calculated volume**: 372.4 Å³ per cell
**Energy of formation from the pure elements**: -0.50 eV/atom
**Size of the total moment**: 0.0 μB/cell
**Crystal system**: orthorhombic

The structure in CIF format:
```
data_Li5ZnAu6
_chemical_formula_sum 'Li10 Zn2 Au12'
_symmetry_space_group_name_H-M 'I m m m'
_symmetry_Int_Tables_number 71
_symmetry_space_group_name_Hall '-I 2 2'
_cell_length_a 4.264
_cell_length_b 6.824
_cell_length_c 12.797
_cell_angle_alpha 90.00
_cell_angle_beta 90.00
_cell_angle_gamma 90.00
loop_
_atom_site_label
_atom_site_fract_x
_atom_site_fract_y
_atom_site_fract_z
Li1 0.000 0.000 0.000
Li2 0.000 0.000 0.335
Li3 0.000 0.500 0.333
Zn1 0.000 0.500 0.000
Au1 0.000 0.249 0.168
Au2 0.000 0.255 0.500
```

(5)
A plane-wave DFT calculation with PBE-GGA was carried out for an optimized crystal structure of Zr2TiFeAg.

Properties
**Calculated volume**: 105.8 Å³ per cell
**Energy of formation from the pure elements**: 0.57 eV/atom
**Size of the total moment**: 0.0 μB/cell
**Crystal system**: tetragonal

The structure in CIF format:
```
data_Zr2TiFeAg
_chemical_formula_sum 'Zr2 Ti1 Fe1 Ag1'
_symmetry_space_group_name_H-M 'P 4/m m m'
_symmetry_Int_Tables_number 123
_symmetry_space_group_name_Hall '-P 4 2'
_cell_length_a 4.647
_cell_length_b 4.647
_cell_length_c 4.900
_cell_angle_alpha 90.00
_cell_angle_beta 90.00
_cell_angle_gamma 90.00
loop_
_atom_site_label
_atom_site_fract_x
_atom_site_fract_y
_atom_site_fract_z
Zr1 0.000 0.500 0.000
Ti1 0.000 0.000 0.500
Fe1 0.500 0.500 0.000
Ag1 0.500 0.500 0.500
```

(6)
A plane-wave DFT calculation with PBE-GGA was carried out for an optimized crystal structure of RbNpCuO6.

Properties
**Calculated volume**: 310.2 Å³ per cell
**Energy relative to the elements, uncorrected**: -1571 meV per atom
**Size of the total moment**: 2.0 μB/cell
**Crystal system**: trigonal

The structure in CIF format:
```
data_RbNpCuO6
_chemical_formula_sum 'Rb2 Np2 Cu2 O12'
_symmetry_space_group_name_H-M 'P -3 1 c'
_symmetry_Int_Tables_number 163
_symmetry_space_group_name_Hall '-P 3 2c'
_cell_length_a 5.2723
_cell_length_b 5.2723
_cell_length_c 12.8850
_cell_angle_alpha 90.00
_cell_angle_beta 90.00
_cell_angle_gamma 120.00
loop_
_atom_site_label
_atom_site_fract_x
_atom_site_fract_y
_atom_site_fract_z
Rb1 0.0000 0.0000 0.0000
Np1 0.3333 0.6667 0.2500
Cu1 0.3333 0.6667 0.7500
O1 0.0048 0.3794 0.6636
```

(7)
A plane-wave DFT calculation with PBE-GGA was carried out for an optimized crystal structure of Mg8TlIn5.

Properties
**Calculated volume**: 694.4 Å³ per cell
**Energy of formation from the pure elements**: -0.01 eV/atom
**Size of the total moment**: 0.0 μB/cell
**Crystal system**: tetragonal

The structure in CIF format:
```
data_Mg8TlIn5
_chemical_formula_sum 'Mg16 Tl2 In10'
_symmetry_space_group_name_H-M 'I -4'
_symmetry_Int_Tables_number 82
_cell_length_a 8.630
_cell_length_b 8.630
_cell_length_c 9.322
_cell_angle_alpha 90.00
_cell_angle_beta 90.00
_cell_angle_gamma 90.00
loop_
_symmetry_equiv_pos_as_xyz
'x,y,z'
'y,-x,-z'
'-x,-y,z'
'-y,x,-z'
'x+1/2,y+1/2,z+1/2'
'y+1/2,-x+1/2,-z+1/2'
'-x+1/2,-y+1/2,z+1/2'
'-y+1/2,x+1/2,-z+1/2'
loop_
_atom_site_label
_atom_site_fract_x
_atom_site_fract_y
_atom_site_fract_z
Mg1 0.073 0.174 0.148
Mg2 0.085 0.331 0.507
Tl1 0.000 0.000 0.500
In1 0.000 0.500 0.250
In2 0.122 0.274 0.825
```